Sb3WS, PBEsol geometry, DFT meta-GGA SCAN; calculated total energy = -37.576 eV per atom; total moment = 0.00 μB per cell; N(E_F) = 2.05 states/eV/f.u.; energy relative to the elements, uncorrected = 644 meV/atom
1.0
5.109 0.000 0.000
0.000 5.109 0.000
0.000 0.000 5.109
S Sb W
1 3 1
Direct
0.500 0.500 0.500
0.500 0.000 0.000
0.000 0.000 0.500
0.000 0.500 0.000
0.000 0.000 0.000